! VSnHRh2 | Alexandria via LeMat-Bulk | GGA-PBE | relaxed; values from VASP
! Total energy, eV/atom: -6.493
! Symmetry: No. 123
! Offset from the most stable computed form, kcal/mol of atoms: 0.00
&SYSTEM
  ibrav = 0, nat = 5, ntyp = 4
/
ATOMIC_SPECIES
H 1.01 H.upf
Rh 102.91 Rh.upf
Sn 118.71 Sn.upf
V 50.94 V.upf
ATOMIC_POSITIONS angstrom
H 0.000 0.000 0.000
Rh 0.000 2.031 0.000
Rh 2.031 0.000 0.000
Sn 2.031 2.031 1.968
V 0.000 0.000 1.968
CELL_PARAMETERS angstrom
4.062 0.000 0.000
0.000 4.062 0.000
0.000 0.000 3.936



! LaTcTe2 | Alexandria via LeMat-Bulk | GGA-PBE | relaxed; values from VASP
! Total energy, eV/atom: -6.129
! Symmetry: No. 8
! Offset from the most stable computed form, kcal/mol of atoms: 1.37
&SYSTEM
  ibrav = 0, nat = 16, ntyp = 3
/
ATOMIC_SPECIES
Te 127.60 Te.upf
Tc 98.00 Tc.upf
La 138.91 La.upf
ATOMIC_POSITIONS angstrom
Te -6.093 -5.820 0.451
Te -0.849 -3.125 -2.375
Te -1.812 -0.169 -5.563
Te -4.195 -5.924 -3.577
Te -4.782 -2.639 -6.682
Te 0.462 0.056 -9.508
Te -3.238 -3.156 0.468
Te -5.621 -8.911 2.455
Tc -0.228 0.774 -3.599
Tc -2.611 -4.982 -1.612
Tc -4.981 -4.261 -1.444
Tc 0.263 -1.566 -4.270
La -0.716 -0.539 -0.476
La -3.099 -6.294 1.511
La -3.756 -2.489 -3.730
La -6.139 -8.244 -1.744
CELL_PARAMETERS angstrom
-0.316 2.684 -10.869
2.861 -3.060 -0.839
-7.627 -8.450 4.813



! Tb8Bi2Ru3 | Alexandria via LeMat-Bulk | GGA-PBE | relaxed; values from VASP
! Total energy, eV/atom: -6.013
! Symmetry: No. 10
! Formation energy, eV/f.u.: -5.54
&SYSTEM
  ibrav = 0, nat = 13, ntyp = 3
/
ATOMIC_SPECIES
Tb 158.93 Tb.upf
Bi 208.98 Bi.upf
Ru 101.07 Ru.upf
ATOMIC_POSITIONS angstrom
Tb -4.884 4.604 -2.389
Tb -4.355 -0.281 4.261
Tb -1.502 4.818 1.164
Tb -7.737 -0.494 0.707
Tb -6.249 2.057 2.451
Tb -2.735 2.279 6.041
Tb -6.504 2.045 -4.170
Tb -2.990 2.267 -0.580
Bi -2.978 2.265 2.759
Bi -6.261 2.058 -0.888
Ru -0.156 2.447 0.002
Ru -3.768 -0.245 7.151
Ru -5.159 -0.325 -5.283
CELL_PARAMETERS angstrom
-0.312 4.894 0.003
-6.854 -0.432 -7.023
-2.073 -0.138 8.891



! Y2TmH | Alexandria via LeMat-Bulk | GGA-PBE | relaxed; values from VASP
! Total energy, eV/atom: -5.377
! Symmetry: No. 166
! Offset from the most stable computed form, kcal/mol of atoms: 0.00
&SYSTEM
  ibrav = 0, nat = 4, ntyp = 3
/
ATOMIC_SPECIES
Y 88.91 Y.upf
H 1.01 H.upf
Tm 168.93 Tm.upf
ATOMIC_POSITIONS angstrom
Y -2.416 -4.684 7.808
Y -1.035 -0.731 2.147
H 0.000 0.000 0.000
Tm -1.726 -2.707 4.977
CELL_PARAMETERS angstrom
-0.754 1.527 3.167
-3.331 -0.189 1.339
0.634 -6.753 5.449



! Ac2SmYAs4 | Alexandria via LeMat-Bulk | GGA-PBE | relaxed; values from VASP
! Total energy, eV/atom: -6.233
! Symmetry: No. 10
! Formation energy, eV/f.u.: -11.86
&SYSTEM
  ibrav = 0, nat = 8, ntyp = 4
/
ATOMIC_SPECIES
Ac 227.00 Ac.upf
Sm 150.36 Sm.upf
Y 88.91 Y.upf
As 74.92 As.upf
ATOMIC_POSITIONS angstrom
Ac 0.000 2.656 7.068
Ac 2.181 1.328 3.534
Sm 2.181 3.779 -0.077
Y 0.000 5.107 3.458
As 0.000 7.527 5.218
As 4.363 2.687 1.697
As 2.181 6.201 1.719
As 2.181 4.012 5.196
CELL_PARAMETERS angstrom
4.363 0.000 0.000
0.000 7.558 -0.153
0.000 2.656 7.068



! Li2TcSn | Alexandria via LeMat-Bulk | GGA-PBE | relaxed; values from VASP
! Total energy, eV/atom: -4.153
! Symmetry: No. 122
! Formation energy, eV/f.u.: 1.58
&SYSTEM
  ibrav = 0, nat = 8, ntyp = 3
/
ATOMIC_SPECIES
Li 6.94 Li.upf
Sn 118.71 Sn.upf
Tc 98.00 Tc.upf
ATOMIC_POSITIONS angstrom
Li 5.304 1.787 0.661
Li 1.845 5.362 0.661
Li 5.362 5.420 1.983
Li 8.937 8.879 1.983
Sn 0.000 0.000 0.000
Sn 7.149 3.575 1.322
Tc 3.575 3.575 0.000
Tc 3.575 7.149 1.322
CELL_PARAMETERS angstrom
7.149 0.000 0.000
0.000 7.149 0.000
3.575 3.575 2.644



! Sr2YIr | Alexandria via LeMat-Bulk | GGA-PBE | relaxed; values from VASP
! Total energy, eV/atom: -4.483
! Symmetry: No. 123
! Offset from the most stable computed form, kcal/mol of atoms: 11.11
! Formation energy, eV/f.u.: 0.76
&SYSTEM
  ibrav = 0, nat = 4, ntyp = 3
/
ATOMIC_SPECIES
Ir 192.22 Ir.upf
Sr 87.62 Sr.upf
Y 88.91 Y.upf
ATOMIC_POSITIONS angstrom
Ir -3.477 -0.636 -0.330
Sr 0.000 0.000 0.000
Sr -3.572 1.540 5.003
Y -2.259 -0.757 2.633
CELL_PARAMETERS angstrom
-2.164 -2.933 -2.699
-2.354 1.419 7.966
-4.789 1.661 2.040



! Mn3SnPb | Alexandria via LeMat-Bulk | GGA-PBE | relaxed; values from VASP
! Total energy, eV/atom: -6.171
! Symmetry: No. 221
! Offset from the most stable computed form, kcal/mol of atoms: 0.00
! Formation energy, eV/f.u.: 4.36
&SYSTEM
  ibrav = 0, nat = 5, ntyp = 3
/
ATOMIC_SPECIES
Pb 207.20 Pb.upf
Mn 54.94 Mn.upf
Sn 118.71 Sn.upf
ATOMIC_POSITIONS angstrom
Pb 2.516 2.516 2.516
Mn 0.000 2.516 0.000
Mn 0.000 0.000 2.516
Mn 2.516 0.000 0.000
Sn 0.000 0.000 0.000
CELL_PARAMETERS angstrom
5.033 0.000 0.000
0.000 5.033 0.000
0.000 0.000 5.033



! MnTlTe2 | Alexandria via LeMat-Bulk | GGA-PBE | relaxed; values from VASP
! Total energy, eV/atom: -4.281
! Symmetry: No. 99
&SYSTEM
  ibrav = 0, nat = 4, ntyp = 3
/
ATOMIC_SPECIES
Mn 54.94 Mn.upf
Te 127.60 Te.upf
Tl 204.38 Tl.upf
ATOMIC_POSITIONS angstrom
Mn 1.686 1.686 7.453
Te 0.000 0.000 8.736
Te 1.686 1.686 2.454
Tl 0.000 0.000 5.238
CELL_PARAMETERS angstrom
3.372 0.000 0.000
0.000 3.372 0.000
0.000 0.000 9.552



! BeCu2Ru | Alexandria via LeMat-Bulk | GGA-PBE | relaxed; values from VASP
! Total energy, eV/atom: -5.219
! Symmetry: No. 8
! Formation energy, eV/f.u.: 0.32
&SYSTEM
  ibrav = 0, nat = 4, ntyp = 3
/
ATOMIC_SPECIES
Ru 101.07 Ru.upf
Cu 63.55 Cu.upf
Be 9.01 Be.upf
ATOMIC_POSITIONS angstrom
Ru 5.017 1.469 1.814
Cu 9.676 2.833 4.040
Cu 7.422 2.173 3.347
Be 2.700 0.791 1.310
CELL_PARAMETERS angstrom
4.569 0.019 -0.003
3.858 2.448 -0.003
1.500 0.439 4.211



! RbMn2HgCl8 | Alexandria via LeMat-Bulk | GGA-PBE | relaxed; values from VASP
! Total energy, eV/atom: -3.890
! Symmetry: No. 147
&SYSTEM
  ibrav = 0, nat = 12, ntyp = 4
/
ATOMIC_SPECIES
Rb 85.47 Rb.upf
Mn 54.94 Mn.upf
Hg 200.59 Hg.upf
Cl 35.45 Cl.upf
ATOMIC_POSITIONS angstrom
Rb 0.000 0.000 0.000
Mn 3.327 1.921 2.449
Mn 0.000 3.842 6.925
Hg 0.000 0.000 4.687
Cl 0.000 3.842 9.147
Cl 1.097 1.847 3.033
Cl 4.506 0.027 3.033
Cl 3.327 1.921 0.227
Cl -1.179 5.736 6.341
Cl 2.230 3.915 6.341
Cl -1.051 1.874 6.341
Cl 4.378 3.889 3.033
CELL_PARAMETERS angstrom
6.654 0.000 0.000
-3.327 5.762 0.000
0.000 0.000 9.374



! TiP2AuO | Alexandria via LeMat-Bulk | GGA-PBE | relaxed; values from VASP
! Total energy, eV/atom: -4.768
! Symmetry: No. 123
! Offset from the most stable computed form, kcal/mol of atoms: 22.18
&SYSTEM
  ibrav = 0, nat = 5, ntyp = 4
/
ATOMIC_SPECIES
P 30.97 P.upf
Au 196.97 Au.upf
O 16.00 O.upf
Ti 47.87 Ti.upf
ATOMIC_POSITIONS angstrom
P 2.043 -1.234 0.112
P -0.946 -1.414 1.678
Au 0.000 0.000 0.000
O 0.662 1.224 1.404
Ti 1.760 -1.424 3.194
CELL_PARAMETERS angstrom
-1.891 -2.828 3.356
4.086 -2.467 0.224
1.324 2.447 2.808



! Er4ScAg2 | Alexandria via LeMat-Bulk | GGA-PBE | relaxed; values from VASP
! Total energy, eV/atom: -4.233
! Symmetry: No. 166
! Formation energy, eV/f.u.: 0.65
&SYSTEM
  ibrav = 0, nat = 7, ntyp = 3
/
ATOMIC_SPECIES
Er 167.26 Er.upf
Sc 44.96 Sc.upf
Ag 107.87 Ag.upf
ATOMIC_POSITIONS angstrom
Er -2.804 -3.908 10.289
Er -4.703 -4.284 7.286
Er -1.338 -1.383 2.791
Er 0.560 -1.006 5.794
Sc -2.071 -2.645 6.540
Ag -3.503 -2.929 4.276
Ag -0.639 -2.362 8.805
CELL_PARAMETERS angstrom
-4.456 -0.050 2.824
-1.934 -4.568 1.796
2.247 -0.672 8.460



! DyMg3Fe8 | Alexandria via LeMat-Bulk | GGA-PBE | relaxed; values from VASP
! Total energy, eV/atom: -6.384
! Symmetry: No. 160
! Formation energy, eV/f.u.: 0.48
&SYSTEM
  ibrav = 0, nat = 12, ntyp = 3
/
ATOMIC_SPECIES
Dy 162.50 Dy.upf
Mg 24.30 Mg.upf
Fe 55.84 Fe.upf
ATOMIC_POSITIONS angstrom
Dy -5.043 1.957 7.363
Mg -1.773 5.688 6.918
Mg 0.519 6.719 5.235
Mg -2.701 3.127 5.744
Fe -4.839 1.402 4.490
Fe -2.927 3.616 8.588
Fe -2.533 0.944 3.664
Fe -5.237 4.075 9.415
Fe -0.887 2.842 3.458
Fe -3.612 5.903 9.172
Fe -3.226 0.158 5.926
Fe -4.543 4.862 7.149
CELL_PARAMETERS angstrom
-4.606 0.914 1.649
-1.384 -1.569 4.517
0.538 6.772 5.260



! KMgSe | Alexandria via LeMat-Bulk | GGA-PBE | relaxed; values from VASP
! Total energy, eV/atom: -2.569
! Symmetry: No. 216
! Offset from the most stable computed form, kcal/mol of atoms: 10.18
&SYSTEM
  ibrav = 0, nat = 3, ntyp = 3
/
ATOMIC_SPECIES
K 39.10 K.upf
Mg 24.30 Mg.upf
Se 78.96 Se.upf
ATOMIC_POSITIONS angstrom
K 0.000 0.000 0.000
Mg 0.715 -6.272 1.147
Se 1.072 -9.409 1.721
CELL_PARAMETERS angstrom
-0.400 -4.799 -2.064
3.405 -3.736 1.378
-1.576 -4.010 2.980



! Ba2GaN | Alexandria via LeMat-Bulk | GGA-PBE | relaxed; values from VASP
! Total energy, eV/atom: -3.871
! Symmetry: No. 122
! Offset from the most stable computed form, kcal/mol of atoms: 8.61
&SYSTEM
  ibrav = 0, nat = 8, ntyp = 3
/
ATOMIC_SPECIES
Ba 137.33 Ba.upf
Ga 69.72 Ga.upf
N 14.01 N.upf
ATOMIC_POSITIONS angstrom
Ba 5.177 1.958 1.116
Ba 2.656 5.875 1.116
Ba 5.875 6.572 3.347
Ba 9.791 9.094 3.347
Ga 0.000 0.000 0.000
Ga 7.833 3.917 2.232
N 3.917 3.917 0.000
N 3.917 7.833 2.232
CELL_PARAMETERS angstrom
7.833 0.000 0.000
0.000 7.833 0.000
3.917 3.917 4.463



! Ce2AlGaIr6 | Alexandria via LeMat-Bulk | GGA-PBE | relaxed; values from VASP
! Total energy, eV/atom: -7.562
! Symmetry: No. 2
! Formation energy, eV/f.u.: -3.81
&SYSTEM
  ibrav = 0, nat = 10, ntyp = 4
/
ATOMIC_SPECIES
Ce 140.12 Ce.upf
Al 26.98 Al.upf
Ga 69.72 Ga.upf
Ir 192.22 Ir.upf
ATOMIC_POSITIONS angstrom
Ce -3.467 2.700 5.902
Ce -2.238 5.429 3.763
Al -3.436 2.656 2.564
Ga 0.000 0.000 0.000
Ir -3.924 4.181 8.459
Ir -4.995 4.089 3.855
Ir -1.098 2.681 3.442
Ir -1.781 3.949 1.205
Ir -0.709 4.041 5.809
Ir -4.607 5.449 6.222
CELL_PARAMETERS angstrom
-0.275 5.457 -0.137
-6.598 -0.145 5.265
1.169 2.818 4.536



! SiTcRh3 | Alexandria via LeMat-Bulk | GGA-PBE | relaxed; values from VASP
! Total energy, eV/atom: -6.237
! Symmetry: No. 221
! Offset from the most stable computed form, kcal/mol of atoms: 18.63
&SYSTEM
  ibrav = 0, nat = 5, ntyp = 3
/
ATOMIC_SPECIES
Si 28.09 Si.upf
Rh 102.91 Rh.upf
Tc 98.00 Tc.upf
ATOMIC_POSITIONS angstrom
Si 2.327 2.327 2.327
Rh 0.000 2.327 0.000
Rh 0.000 0.000 2.327
Rh 2.327 0.000 0.000
Tc 0.000 0.000 0.000
CELL_PARAMETERS angstrom
4.655 0.000 0.000
0.000 4.655 0.000
0.000 0.000 4.655



! CeNb2V | Alexandria via LeMat-Bulk | GGA-PBE | relaxed; values from VASP
! Total energy, eV/atom: -8.424
! Symmetry: No. 166
! Formation energy, eV/f.u.: 1.49
&SYSTEM
  ibrav = 0, nat = 4, ntyp = 3
/
ATOMIC_SPECIES
Nb 92.91 Nb.upf
Ce 140.12 Ce.upf
V 50.94 V.upf
ATOMIC_POSITIONS angstrom
Nb 1.515 0.874 6.845
Nb 4.544 2.623 2.853
Ce 0.000 0.000 0.000
V 3.029 1.749 4.849
CELL_PARAMETERS angstrom
3.029 0.000 0.000
1.515 2.623 0.000
1.515 0.874 9.698



! BaCrTc2 | Alexandria via LeMat-Bulk | GGA-PBE | relaxed; values from VASP
! Total energy, eV/atom: -7.514
! Symmetry: No. 160
! Offset from the most stable computed form, kcal/mol of atoms: 0.00
! Formation energy, eV/f.u.: 2.22
&SYSTEM
  ibrav = 0, nat = 4, ntyp = 3
/
ATOMIC_SPECIES
Ba 137.33 Ba.upf
Cr 52.00 Cr.upf
Tc 98.00 Tc.upf
ATOMIC_POSITIONS angstrom
Ba 1.059 -5.525 -1.428
Cr -0.333 -2.215 -1.122
Tc -1.943 -6.045 -3.813
Tc 2.382 -8.790 -1.767
CELL_PARAMETERS angstrom
-2.196 -3.659 -0.273
0.195 -2.349 -3.568
4.112 -5.037 0.981



The following mass density values (in g/cm³) correspond, in order, to the records above: 9.63 6.49 8.92 6.11 7.02 5.67 6.74 6.39 7.87 8.42 3.14 5.94 7.78 6.52 2.32 4.35 12.48 7.16 8.12 6.63.